Compound: Mn2FeSb
Source: the Alexandria database
Functional: PBE
Structure: optimized geometry

It has space group P4/mmm (No. 123), with a = 3.824 Å, b = 3.824 Å, c = 3.799 Å, α = 90.00°, β = 90.00° and γ = 90.00°. Symmetry generates all atoms from Mn at (0.000, 0.500, 0.000), Fe at (0.000, 0.000, 0.500) and Sb at (0.500, 0.500, 0.500).

For the formation energy without anion corrections, the calculation gives 0.10 eV/atom. The calculation puts the total magnetization at 6.708 μB per cell.